(1)
DFT (PBE) results for a relaxed CsMo4Se8 crystal.

E   -6.05 eV per atom
Total magnetization   0.00 μB per formula unit

Cell and atoms, written as POSCAR:
```
CsMo4Se8
1.0
-1.0408 -3.0718 -0.8701
1.6935 -4.7257 8.1783
-9.5147 -0.2210 5.6819
Se Mo Cs
8 4 1
Cartesian
-2.2278 -7.2487 8.8164
-0.8572 -3.9572 2.0363
-2.7649 -2.1277 4.3394
-1.2557 -4.8434 5.6417
-7.4012 -4.1591 10.5772
-7.0027 -3.2729 6.9719
-6.0305 -0.8680 3.7984
-5.4936 -5.9889 8.2753
-3.4981 -5.2206 9.6560
-8.1272 -5.1170 8.3475
-0.1312 -2.9993 4.2660
-4.7603 -2.8961 2.9588
-9.7346 -1.8055 5.0591
```

=====

(2)
DFT (PBE) results for a relaxed B2SbPt2 crystal.

E   -6.00 eV per atom
Total magnetization   0.00 μB per formula unit

Cell and atoms, written as POSCAR:
```
B2SbPt2
1.0
3.2624 0.0000 0.0000
0.0000 3.2624 0.0000
1.6312 1.6312 7.0232
B Pt Sb
2 2 1
Cartesian
3.2624 1.6312 3.5116
1.6312 3.2624 3.5116
1.6312 1.6312 2.1326
3.2624 3.2624 4.8907
0.0000 0.0000 0.0000
```

=====

| no. | density of states at the Fermi level (states/eV per atom) | formation energy from raw total energies (eV per atom) |
| --- | --- | --- |
| 1 | 0.265 | -0.5095 |
| 2 | 0.233 | -0.0851 |